DFT (PBE) results for LiMg2As after structural relaxation.

Computed properties:
* total magnetization: 0.000 μB per atom
* ΔE_f: -82 meV/atom

Geometry as extended XYZ:
```
4
Lattice="-3.354 7.925 4.359 -2.663 6.196 6.897 -0.422 7.911 5.503" Properties=species:S:1:pos:R:3 pbc="T T T"
As -1.610 5.508 4.190
Li -4.829 16.525 12.569
Mg -6.425 21.987 16.724
Mg -3.232 11.062 8.414
```

DFT (PBE) results for AcCeAu2 after structural relaxation.

Computed properties:
* distance to the lowest polymorph of the same formula: 104.9 meV/atom
* total magnetization: 0.301 μB per atom
* ΔE_f: -606 meV/atom

Geometry as extended XYZ:
```
4
Lattice="4.265 0.000 0.000 2.132 3.693 0.000 2.132 1.231 7.848" Properties=species:S:1:pos:R:3 pbc="T T T"
Ac 4.265 2.462 3.924
Au 6.397 3.693 6.004
Au 2.132 1.231 1.844
Ce 0.000 0.000 0.000
```

DFT (PBE) results for BaBeTcMo2 after structural relaxation.

Computed properties:
* total magnetization: 0.704 μB per atom
* ΔE_f: 3363 meV/atom

Geometry as extended XYZ:
```
5
Lattice="-4.729 1.592 -0.221 -0.651 -1.282 4.690 1.464 4.551 1.447" Properties=species:S:1:pos:R:3 pbc="T T T"
Be -1.958 2.430 2.958
Mo 0.732 2.275 0.723
Mo -2.364 0.796 -0.111
Ba 0.000 0.000 0.000
Tc -0.326 -0.641 2.345
```

DFT (PBE) results for LiMgAu3 after structural relaxation.

Computed properties:
* distance to the lowest polymorph of the same formula: 408.9 meV/atom
* total magnetization: 0.000 μB per atom
* ΔE_f: -33 meV/atom

Geometry as extended XYZ:
```
5
Lattice="-3.906 1.667 -1.572 -2.272 -3.222 2.228 -0.299 2.710 3.615" Properties=species:S:1:pos:R:3 pbc="T T T"
Mg -3.238 0.578 2.135
Au -1.136 -1.611 1.114
Au -0.149 1.355 1.808
Au -1.953 0.834 -0.786
Li 0.000 0.000 0.000
```